A relaxed Tm6BiAs2S3 crystal, computed with GGA-PBE.

POSCAR file:
```
Tm6BiAs2S3
1.0
8.752 -2.011 0.000
8.752 2.011 0.000
-1.786 0.000 7.849
Tm Bi As S
6 1 2 3
Cartesian
17.096 0.000 1.762
-1.378 0.000 6.087
4.940 0.000 3.217
4.181 0.000 7.199
11.537 0.000 0.650
10.777 0.000 4.632
7.859 0.000 3.925
1.436 0.000 6.542
14.281 0.000 1.307
2.289 0.000 2.601
8.752 0.000 0.000
13.429 0.000 5.248
```

SG: C2/m, No. 12
V: 276.3 Å³ per cell
Formation energy without anion corrections: -1.565 eV per atom
Electronic total energy: -71.17 eV/cell
Total magnetic moment: 0.000 μB/cell